1.
Density functional theory data (PBE-GGA) for a geometry-optimized MnCo6Re structure.

## Properties
* symmetry: Pmm2 (25)
* DFT total energy: -64.0 eV/cell
* crystal system: orthorhombic
* total magnetic moment: 0.62 μB/atom
* E_form: 0.04 eV per atom
* energy relative to the lowest polymorph listed for this composition: 0 meV per atom

Cell lengths 4.031, 4.358, 5.039 Å; angles 90.00, 90.00, 90.00 degrees
Element x y z (fractional)
Mn: 0.000 0.664 0.000
Co: 0.000 0.165 0.245
Co: 0.500 0.330 0.000
Co: 0.500 0.833 0.754
Co: 0.000 0.165 0.755
Co: 0.000 0.676 0.500
Co: 0.500 0.833 0.246
Re: 0.500 0.335 0.500

2.
Density functional theory data (PBE-GGA) for a geometry-optimized MnCoRe2 structure.

## Properties
* symmetry: I-42d (122)
* DFT total energy: -76.2 eV/cell
* crystal system: tetragonal
* total magnetic moment: 0.16 μB/atom
* E_form: 0.77 eV per atom
* energy relative to the lowest polymorph listed for this composition: 789 meV per atom

Cell lengths 6.572, 6.572, 5.322 Å; angles 51.87, 51.87, 90.00 degrees
Element x y z (fractional)
Co: 0.750 0.250 0.500
Re: 0.615 0.125 0.250
Mn: 0.250 0.750 0.500
Re: 0.375 0.385 0.750
Re: 0.135 0.625 0.250
Re: 0.875 0.865 0.750
Mn: 0.500 0.500 0.000
Co: 0.000 0.000 0.000

3.
Density functional theory data (PBE-GGA) for a geometry-optimized MnCoRe2 structure.

## Properties
* symmetry: Pmm2 (25)
* DFT total energy: -40.8 eV/cell
* crystal system: orthorhombic
* total magnetic moment: 0.43 μB/atom
* E_form: 0.09 eV per atom
* energy relative to the lowest polymorph listed for this composition: 108 meV per atom

Cell lengths 2.660, 3.714, 5.301 Å; angles 90.00, 90.00, 90.00 degrees
Element x y z (fractional)
Mn: 0.500 0.500 0.739
Re: 0.000 0.000 0.984
Co: 0.000 0.000 0.506
Re: 0.500 0.500 0.271

4.
Density functional theory data (PBE-GGA) for a geometry-optimized MnCoRe2 structure.

## Properties
* symmetry: Pmmm (47)
* DFT total energy: -40.9 eV/cell
* crystal system: orthorhombic
* total magnetic moment: 0.09 μB/atom
* E_form: 0.06 eV per atom
* energy relative to the lowest polymorph listed for this composition: 79 meV per atom

Cell lengths 2.645, 3.663, 5.319 Å; angles 90.00, 90.00, 90.00 degrees
Element x y z (fractional)
Co: 0.500 0.500 0.250
Re: 0.000 0.000 0.504
Mn: 0.500 0.500 0.750
Re: 0.000 0.000 0.996

5.
Density functional theory data (PBE-GGA) for a geometry-optimized MnCoRe2 structure.

## Properties
* symmetry: P4/mmm (123)
* DFT total energy: -41.0 eV/cell
* crystal system: tetragonal
* total magnetic moment: 0.10 μB/atom
* E_form: 0.05 eV per atom
* energy relative to the lowest polymorph listed for this composition: 73 meV per atom

Cell lengths 2.643, 2.643, 7.358 Å; angles 90.00, 90.00, 90.00 degrees
Element x y z (fractional)
Re: 0.000 0.000 0.501
Mn: 0.500 0.500 0.750
Re: 0.000 0.000 0.999
Co: 0.500 0.500 0.250

6.
Density functional theory data (PBE-GGA) for a geometry-optimized Mn2CoReRu structure.

## Properties
* symmetry: P4/mmm (123)
* DFT total energy: -38.9 eV/cell
* crystal system: tetragonal
* total magnetic moment: 1.50 μB/atom
* E_form: 1.66 eV per atom

Cell lengths 4.547, 4.639, 4.547 Å; angles 90.00, 90.00, 90.00 degrees
Element x y z (fractional)
Mn: 0.500 0.000 0.000
Ru: 0.000 0.500 0.000
Re: 0.000 0.000 0.000
Co: 0.500 0.500 0.500
Mn: 0.000 0.000 0.500

7.
Density functional theory data (PBE-GGA) for a geometry-optimized MnCoReRu2 structure.

## Properties
* symmetry: P4/mmm (123)
* DFT total energy: -39.4 eV/cell
* crystal system: tetragonal
* total magnetic moment: 0.56 μB/atom
* E_form: 1.58 eV per atom

Cell lengths 4.340, 4.407, 4.340 Å; angles 90.00, 90.00, 90.00 degrees
Element x y z (fractional)
Ru: 0.500 0.000 0.000
Mn: 0.000 0.000 0.000
Co: 0.500 0.500 0.500
Re: 0.000 0.500 0.000
Ru: 0.000 0.000 0.500

8.
Density functional theory data (PBE-GGA) for a geometry-optimized MnCoReSe structure.

## Properties
* symmetry: Cm (8)
* DFT total energy: -61.7 eV/cell
* crystal system: monoclinic
* total magnetic moment: 0.36 μB/atom
* uncorrected formation energy: 0.342 eV per atom
* energy relative to the lowest polymorph listed for this composition: 189 meV per atom

Cell lengths 4.400, 2.871, 8.680 Å; angles 90.00, 94.25, 90.00 degrees
Element x y z (fractional)
Se: 0.853 0.500 0.074
Re: 0.208 0.000 0.359
Mn: 0.671 0.000 0.821
Co: 0.419 0.000 0.085
Se: 0.853 0.000 0.574
Mn: 0.671 0.500 0.321
Re: 0.208 0.500 0.859
Co: 0.419 0.500 0.585

9.
Density functional theory data (PBE-GGA) for a geometry-optimized MnCoReSe structure.

## Properties
* symmetry: Amm2 (38)
* DFT total energy: -62.3 eV/cell
* crystal system: orthorhombic
* total magnetic moment: 0.35 μB/atom
* uncorrected formation energy: 0.269 eV per atom
* energy relative to the lowest polymorph listed for this composition: 115 meV per atom

Cell lengths 3.643, 2.857, 10.476 Å; angles 90.00, 90.00, 90.00 degrees
Element x y z (fractional)
Mn: 0.500 0.000 0.689
Se: 0.000 0.000 0.276
Se: 0.000 0.500 0.776
Re: 0.500 0.000 0.448
Re: 0.500 0.500 0.948
Co: 0.000 0.500 0.554
Mn: 0.500 0.500 0.189
Co: 0.000 0.000 0.054

10.
Density functional theory data (PBE-GGA) for a geometry-optimized MnCoReSe structure.

## Properties
* symmetry: Imm2 (44)
* DFT total energy: -62.5 eV/cell
* crystal system: orthorhombic
* total magnetic moment: 0.10 μB/atom
* uncorrected formation energy: 0.244 eV per atom
* energy relative to the lowest polymorph listed for this composition: 91 meV per atom

Cell lengths 3.377, 2.761, 12.452 Å; angles 90.00, 90.00, 90.00 degrees
Element x y z (fractional)
Se: 0.500 0.500 0.177
Co: 0.500 0.000 0.808
Co: 0.000 0.500 0.308
Re: 0.000 0.500 0.917
Mn: 0.500 0.000 0.022
Re: 0.500 0.000 0.417
Mn: 0.000 0.500 0.522
Se: 0.000 0.000 0.677

11.
Density functional theory data (PBE-GGA) for a geometry-optimized MnCoReSe structure.

## Properties
* symmetry: Amm2 (38)
* DFT total energy: -62.5 eV/cell
* crystal system: orthorhombic
* total magnetic moment: 0.34 μB/atom
* uncorrected formation energy: 0.237 eV per atom
* energy relative to the lowest polymorph listed for this composition: 84 meV per atom

Cell lengths 3.158, 3.218, 10.973 Å; angles 90.00, 90.00, 90.00 degrees
Element x y z (fractional)
Se: 0.000 0.500 0.558
Re: 0.500 0.000 0.876
Co: 0.500 0.000 0.636
Co: 0.500 0.500 0.136
Re: 0.500 0.500 0.376
Se: 0.000 0.000 0.058
Mn: 0.000 0.000 0.269
Mn: 0.000 0.500 0.769

12.
Density functional theory data (PBE-GGA) for a geometry-optimized MnCoReSe structure.

## Properties
* symmetry: Cm (8)
* DFT total energy: -61.6 eV/cell
* crystal system: monoclinic
* total magnetic moment: 0.70 μB/atom
* uncorrected formation energy: 0.349 eV per atom
* energy relative to the lowest polymorph listed for this composition: 195 meV per atom

Cell lengths 3.872, 2.899, 9.860 Å; angles 90.00, 92.58, 90.00 degrees
Element x y z (fractional)
Se: 0.099 0.500 0.171
Re: 0.650 0.500 0.545
Se: 0.099 0.000 0.671
Co: 0.604 0.500 0.294
Mn: 0.120 0.500 0.915
Co: 0.604 0.000 0.794
Re: 0.650 0.000 0.045
Mn: 0.120 0.000 0.415